# 1
# MoW

A geometry-optimized MoW structure (PBEsol, the Alexandria database).

abc: 3.1396 3.1396 6.2820
angles: 90.00 90.00 90.00
Last column: nearest neighbours and their distance in Å.
Positions (direct):
Mo: 0.5000 0.0000 0.8759  4 Mo 2.71, 4 W 2.72
Mo: 0.0000 0.5000 0.1241  4 Mo 2.71, 4 W 2.72
W: 0.5000 0.0000 0.3737  4 Mo 2.72, 4 W 2.73
W: 0.0000 0.5000 0.6263  4 Mo 2.72, 4 W 2.73

***

# 2
# Y2MoW

A geometry-optimized Y2MoW structure (PBEsol, the Alexandria database).

abc: 2.9244 4.8894 5.7097
angles: 90.00 103.05 90.00
Last column: nearest neighbours and their distance in Å.
Positions (direct):
Mo: 0.5000 0.5000 0.0000  2 W 2.90, 2 Mo 2.92, 4 Y 2.95
W: 0.0000 0.5000 0.5000  2 Mo 2.90, 2 W 2.92, 4 Y 3.06
Y: 0.6974 0.0000 0.7495  4 Y 2.82-3.01, 2 Mo 2.95, 2 W 3.06
Y: 0.3026 0.0000 0.2505  4 Y 2.82-3.01, 2 Mo 2.95, 2 W 3.06

***

# 3
# YMoW2

A geometry-optimized YMoW2 structure (PBEsol, the Alexandria database).

abc: 2.7156 5.3983 5.5160
angles: 119.30 90.00 90.00
Last column: nearest neighbours and their distance in Å.
Positions (direct):
Mo: 0.5000 0.5000 0.0000  2 Y 2.70, 2 Mo 2.72
W: 0.0000 0.5000 0.5000  4 W 2.70-2.72
W: 0.0000 0.0000 0.5000  4 W 2.70-2.72
Y: 0.5000 0.0000 0.0000  2 Mo 2.70, 2 Y 2.72

***

# 4
# YMoW2

A geometry-optimized YMoW2 structure (PBEsol, the Alexandria database).

abc: 2.7118 4.7702 5.4680
angles: 90.00 90.00 90.00
Last column: nearest neighbours and their distance in Å.
Positions (direct):
Mo: 0.5000 0.5000 0.5000  2 Mo 2.71, 2 Y 2.73
W: 0.0000 0.0000 0.7397  4 W 2.62-2.85
W: 0.0000 0.0000 0.2603  4 W 2.62-2.85
Y: 0.5000 0.5000 0.0000  2 Y 2.71, 2 Mo 2.73

***

# 5
# Y2MoW

A geometry-optimized Y2MoW structure (PBEsol, the Alexandria database).

abc: 3.0184 3.0184 10.0278
angles: 90.00 90.00 112.78
Last column: nearest neighbours and their distance in Å.
Positions (direct):
Mo: 0.0000 0.0000 0.4710  2 W 2.53
W: 0.5000 0.5000 0.2812  2 Mo 2.53
Y: 0.0000 0.0000 0.0378  2 W 2.96, 4 Y 3.02
Y: 0.5000 0.5000 0.7100  2 Mo 2.92, 4 Y 3.02

***

# 6
# YMoW2

A geometry-optimized YMoW2 structure (PBEsol, the Alexandria database).

abc: 2.8070 2.8070 9.4288
angles: 90.00 90.00 110.23
Last column: nearest neighbours and their distance in Å.
Positions (direct):
Mo: 0.5000 0.5000 0.0000  4 W 2.66, 4 Mo 2.81
W: 0.0000 0.0000 0.2248  2 Mo 2.66, 4 W 2.81
W: 0.0000 0.0000 0.7752  2 Mo 2.66, 4 W 2.81
Y: 0.5000 0.5000 0.5000  4 Y 2.81, 4 W 3.05

***

# 7
# ZnMo2W

A geometry-optimized ZnMo2W structure (PBEsol, the Alexandria database).

abc: 3.2562 3.2562 5.6246
angles: 90.00 90.00 90.00
Last column: nearest neighbours and their distance in Å.
Positions (direct):
Mo: 0.0000 0.0000 0.9928  4 Zn 2.67, 4 Mo 2.72, 2 W 2.74-2.89
Mo: 0.5000 0.5000 0.2499  4 W 2.72, 4 Mo 2.72, 2 Zn 2.81-2.82
W: 0.0000 0.0000 0.5064  4 Zn 2.68, 6 Mo 2.72-2.89
Zn: 0.5000 0.5000 0.7508  6 Mo 2.67-2.82, 4 W 2.68

***

# 8
# ZnMo2W

A geometry-optimized ZnMo2W structure (PBEsol, the Alexandria database).

abc: 2.6897 2.6897 8.7135
angles: 90.00 90.00 107.20
Last column: nearest neighbours and their distance in Å.
Positions (direct):
Mo: 0.0000 0.0000 0.2480  2 Zn 2.69, 4 Mo 2.69, 2 W 2.71
Mo: 0.0000 0.0000 0.7520  2 Zn 2.69, 4 Mo 2.69, 2 W 2.71
Zn: 0.5000 0.5000 0.0000  4 Mo 2.69, 4 Zn 2.69
W: 0.5000 0.5000 0.5000  4 W 2.69, 4 Mo 2.71

***

# 9
# Zn2MoW

A geometry-optimized Zn2MoW structure (PBEsol, the Alexandria database).

abc: 2.6365 2.6365 8.4999
angles: 90.00 90.00 100.83
Last column: nearest neighbours and their distance in Å.
Positions (direct):
Mo: 0.5000 0.5000 0.5000  4 Mo 2.64, 8 Zn 2.70-2.93
W: 0.5000 0.5000 0.0000  4 W 2.64, 8 Zn 2.71-2.95
Zn: 0.0000 0.0000 0.2508  4 Zn 2.64, 4 Mo 2.70-2.93, 4 W 2.71-2.95
Zn: 0.0000 0.0000 0.7492  4 Zn 2.64, 4 Mo 2.70-2.93, 4 W 2.71-2.95

***

# 10
# ZnMo2W

A geometry-optimized ZnMo2W structure (PBEsol, the Alexandria database).

abc: 2.6161 4.7771 5.0573
angles: 95.33 90.00 105.89
Last column: nearest neighbours and their distance in Å.
Positions (direct):
Mo: 0.7462 0.4923 0.7439  6 Mo 2.62-2.90, 3 W 2.71-2.87, 3 Zn 2.74-2.79
Mo: 0.2538 0.5077 0.2561  6 Mo 2.62-2.90, 3 W 2.71-2.87, 3 Zn 2.74-2.79
W: 0.5000 0.0000 0.0000  2 W 2.62, 6 Mo 2.71-2.87, 4 Zn 2.85
Zn: 0.0000 0.0000 0.5000  2 Zn 2.62, 6 Mo 2.74-2.79, 4 W 2.85

***

# 11
# Zn3MoW

A geometry-optimized Zn3MoW structure (PBEsol, the Alexandria database).

abc: 4.6056 4.6056 4.6056
angles: 90.00 90.00 90.00
Last column: nearest neighbours and their distance in Å.
Positions (direct):
Mo: 0.0000 0.0000 0.0000  6 Zn 2.30
Zn: 0.0000 0.5000 0.0000  2 Mo 2.30
Zn: 0.0000 0.0000 0.5000  2 Mo 2.30
Zn: 0.5000 0.0000 0.0000  2 Mo 2.30
W: 0.5000 0.5000 0.5000  12 Zn 3.26

***

# 12
# ZrMoW

A geometry-optimized ZrMoW structure (PBEsol, the Alexandria database).

abc: 3.2018 3.2018 5.5145
angles: 106.88 106.88 90.00
Last column: nearest neighbours and their distance in Å.
Positions (direct):
Mo: 0.0121 0.0121 0.0242  4 W 2.67, 4 Zr 2.88
W: 0.6532 0.6532 0.3063  4 Mo 2.67, 4 Zr 2.91
Zr: 0.3348 0.3348 0.6695  4 Mo 2.88, 5 W 2.91-3.20, 4 Zr 3.20

***

# 13
# ZrMoW

A geometry-optimized ZrMoW structure (PBEsol, the Alexandria database).

abc: 5.3192 5.3406 5.3406
angles: 60.30 60.13 60.13
Last column: nearest neighbours and their distance in Å.
Positions (direct):
Mo: 0.0000 0.5000 0.0000  2 Mo 2.66, 4 W 2.67
Mo: 0.5000 0.5000 0.0000  2 Mo 2.66, 4 W 2.67
Zr: 0.1249 0.1251 0.6251  6 W 3.12-3.13, 6 Mo 3.13-3.14, 4 Zr 3.26-3.28
Zr: 0.8751 0.8749 0.3749  6 W 3.12-3.13, 6 Mo 3.13-3.14, 4 Zr 3.26-3.28
W: 0.5000 0.5000 0.5000  4 Mo 2.67, 2 W 2.68
W: 0.5000 0.0000 0.0000  4 Mo 2.67, 2 W 2.68

***

# 14
# Y2Mo3

A geometry-optimized Y2Mo3 structure (PBEsol, the Alexandria database).

abc: 3.1579 3.1579 11.5651
angles: 90.00 90.00 120.00
Last column: nearest neighbours and their distance in Å.
Positions (direct):
Mo: 0.0000 0.0000 0.0000  6 Y 3.01, 6 Mo 3.16
Mo: 0.3333 0.6667 0.4267  3 Mo 2.49
Mo: 0.6667 0.3333 0.5733  3 Mo 2.49
Y: 0.3333 0.6667 0.7933  6 Mo 3.01-3.13, 6 Y 3.16
Y: 0.6667 0.3333 0.2067  6 Mo 3.01-3.13, 6 Y 3.16

***

# 15
# YZn2Mo

A geometry-optimized YZn2Mo structure (PBEsol, the Alexandria database).

abc: 2.8679 4.9346 5.3418
angles: 98.43 90.00 106.89
Last column: nearest neighbours and their distance in Å.
Positions (direct):
Mo: 0.0000 0.0000 0.5000  6 Zn 2.76-2.81, 2 Mo 2.87, 4 Y 3.03
Y: 0.5000 0.0000 0.0000  2 Y 2.87, 6 Zn 2.98-3.07, 4 Mo 3.03
Zn: 0.7406 0.4812 0.6976  4 Zn 2.58-2.87, 3 Mo 2.76-2.81
Zn: 0.2594 0.5188 0.3024  4 Zn 2.58-2.87, 3 Mo 2.76-2.81

***

# 16
# YZnMo

A geometry-optimized YZnMo structure (PBEsol, the Alexandria database).

abc: 3.1302 3.6593 5.4726
angles: 109.53 106.62 90.00
Last column: nearest neighbours and their distance in Å.
Positions (direct):
Mo: 0.9748 0.9748 0.9496  4 Zn 2.66
Y: 0.6646 0.6646 0.3293  5 Zn 2.99-3.08, 5 Mo 3.05, 2 Y 3.13
Zn: 0.3606 0.3606 0.7211  4 Mo 2.66

***

# 17
# YZnMo4

A geometry-optimized YZnMo4 structure (PBEsol, the Alexandria database).

abc: 5.3056 5.3056 5.3056
angles: 60.00 60.00 60.00
Last column: nearest neighbours and their distance in Å.
Positions (direct):
Mo: 0.3742 0.3742 0.3742  6 Mo 2.64-2.67
Mo: 0.3742 0.3742 0.8774  6 Mo 2.64-2.67
Mo: 0.8774 0.3742 0.3742  6 Mo 2.64-2.67
Mo: 0.3742 0.8774 0.3742  6 Mo 2.64-2.67
Y: 0.7500 0.7500 0.7500  12 Mo 3.11, 4 Zn 3.25
Zn: 0.0000 0.0000 0.0000  12 Mo 3.11, 4 Y 3.25

***

# 18
# YZnMo2

A geometry-optimized YZnMo2 structure (PBEsol, the Alexandria database).

abc: 2.8318 2.8318 10.0636
angles: 81.91 81.91 60.00
Last column: nearest neighbours and their distance in Å.
Positions (direct):
Mo: 0.2586 0.2586 0.2242  3 Zn 2.76, 6 Mo 2.83
Mo: 0.7414 0.7414 0.7758  3 Zn 2.76, 6 Mo 2.83
Y: 0.5000 0.5000 0.5000  6 Y 2.83
Zn: 0.0000 0.0000 0.0000  6 Mo 2.76, 6 Zn 2.83

***

# 19
# YZnMo2

A geometry-optimized YZnMo2 structure (PBEsol, the Alexandria database).

abc: 4.4297 4.6326 4.6326
angles: 61.63 61.44 61.44
Last column: nearest neighbours and their distance in Å.
Positions (direct):
Mo: 0.9879 0.0121 0.0121  2 Mo 2.66, 4 Zn 2.78-2.87
Mo: 0.2653 0.2347 0.2347  2 Mo 2.66, 4 Y 2.81-2.85
Y: 0.5043 0.4957 0.4957  4 Mo 2.81-2.85, 4 Zn 2.81-2.85
Zn: 0.7426 0.7574 0.7574  4 Mo 2.78-2.87, 4 Y 2.81-2.85

***

# 20
# YZn3Mo

A geometry-optimized YZn3Mo structure (PBEsol, the Alexandria database).

abc: 4.7327 4.7327 4.7327
angles: 90.00 90.00 90.00
Last column: nearest neighbours and their distance in Å.
Positions (direct):
Y: 0.5000 0.5000 0.5000  12 Zn 3.35
Mo: 0.0000 0.0000 0.0000  6 Zn 2.37
Zn: 0.0000 0.5000 0.0000  2 Mo 2.37
Zn: 0.0000 0.0000 0.5000  2 Mo 2.37
Zn: 0.5000 0.0000 0.0000  2 Mo 2.37

***

For reference, E_form by record: 1; 661; 659; 669; 434; 377; 239; 88; 212; 309; 1960; -18; -127; 630; 204; 213; 333; 603; 240; 483 meV/atom.
For reference, DOS(E_F) by record: 1.217; 4.784; 2.868; 3.172; 3.997; 3.297; 3.127; 1.900; 2.159; 2.469; 3.358; 2.016; 1.316; 6.005; 3.168; 2.576; 6.221; 4.872; 4.392; 4.689 states/eV/f.u..